(1)
Ac2Si3Pd | GGA-PBE | relaxed

Properties
density = 7.50 g/cm³

Cell lengths 6.2520, 6.2520, 8.6481 Å; angles 113.00, 113.00, 85.35 degrees
With the nearest neighbours (Å) after each atom.
Sites, in units of the cell vectors:
Ac 0.2500 0.7500 0.5000  4 Pd 3.35, 8 Si 3.36-3.37
Ac 0.2485 0.2485 0.0000  10 Si 3.32-3.37, 2 Pd 3.37
Ac 0.7515 0.7515 0.0000  10 Si 3.32-3.37, 2 Pd 3.37
Ac 0.7500 0.2500 0.5000  4 Pd 3.35, 8 Si 3.36-3.37
Pd 0.3328 0.3328 0.6656  3 Si 2.47
Pd 0.6672 0.6672 0.3344  3 Si 2.47
Si 0.3298 0.8350 0.1649  2 Si 2.42, 1 Pd 2.47
Si 0.1650 0.6702 0.8351  2 Si 2.42, 1 Pd 2.47
Si 0.1645 0.1645 0.3290  2 Si 2.42, 1 Pd 2.47
Si 0.8350 0.3298 0.1649  2 Si 2.42, 1 Pd 2.47
Si 0.6702 0.1650 0.8351  2 Si 2.42, 1 Pd 2.47
Si 0.8355 0.8355 0.6710  2 Si 2.42, 1 Pd 2.47

(2)
Ac2SiPd | GGA-PBE | relaxed

Properties
density = 8.47 g/cm³
energy above the lowest structure with this stoichiometry = 0 meV/atom

Cell lengths 4.5087, 6.1358, 9.0448 Å; angles 112.78, 90.00, 90.00 degrees
With the nearest neighbours (Å) after each atom.
Sites, in units of the cell vectors:
Pd 0.2500 0.3903 0.2202  2 Si 2.66
Pd 0.7500 0.6097 0.7798  2 Si 2.66
Si 0.2500 0.3610 0.7122  2 Pd 2.66
Si 0.7500 0.6390 0.2878  2 Pd 2.66
Ac 0.2500 0.7853 0.5787  3 Pd 3.21-3.33, 4 Si 3.26-3.31
Ac 0.2500 0.7795 0.0678  4 Pd 3.19-3.46, 3 Si 3.25-3.33
Ac 0.7500 0.2205 0.9322  4 Pd 3.19-3.46, 3 Si 3.25-3.33
Ac 0.7500 0.2147 0.4213  3 Pd 3.21-3.33, 4 Si 3.26-3.31

(3)
Ac2Si3Pd6 | GGA-PBE | relaxed

Properties
density = 8.94 g/cm³

Cell lengths 4.4562, 7.5266, 7.5266 Å; angles 120.00, 90.00, 90.00 degrees
With the nearest neighbours (Å) after each atom.
Sites, in units of the cell vectors:
Pd 0.5000 0.3143 0.0000  3 Si 2.51-2.53
Pd 0.0000 0.7903 0.0000  2 Si 2.46, 2 Pd 2.73
Pd 0.0000 0.0000 0.7903  2 Si 2.46, 2 Pd 2.73
Pd 0.0000 0.2097 0.2097  2 Si 2.46, 2 Pd 2.73
Pd 0.5000 0.6857 0.6857  3 Si 2.51-2.53
Pd 0.5000 0.0000 0.3143  3 Si 2.51-2.53
Ac 0.0000 0.6667 0.3333  9 Pd 3.08-3.41, 6 Si 3.31
Ac 0.0000 0.3333 0.6667  9 Pd 3.08-3.41, 6 Si 3.31
Si 0.5000 0.3494 0.3494  5 Pd 2.46-2.53
Si 0.5000 0.6506 0.0000  5 Pd 2.46-2.53
Si 0.5000 0.0000 0.6506  5 Pd 2.46-2.53

Energy relative to the elements, uncorrected list, top to bottom, in eV per atom: -0.83; -0.66; -0.77